1.
Material: CeErGa2Au5
Method: DFT, GGA-PBE
State: optimized geometry

Summary:
The calculation puts the volume at 190.7 Å³/cell. The value obtained for the energy is -37.056 eV per cell. Its density is 12.5 Mg/m³.

a b c (Å): 4.7459 4.7459 8.4680
angles (deg): 90.00 90.00 90.00
Each line ends with the local moment (μB).
Fractional positions:
Au (0.5000, 0.0000, 0.7411)  0.01
Au (0.5000, 0.0000, 0.2589)  0.01
Au (0.0000, 0.5000, 0.2589)  0.01
Au (0.5000, 0.5000, 0.5000)  0.01
Au (0.0000, 0.5000, 0.7411)  0.01
Ga (0.5000, 0.5000, 0.1456)  0.00
Ga (0.5000, 0.5000, 0.8544)  0.00
Ce (0.0000, 0.0000, 0.5000)  0.90
Er (0.0000, 0.0000, 0.0000)  0.02

---

2.
Material: CeErGaAu
Method: DFT, GGA-PBE
State: optimized geometry

Summary:
The calculation puts the volume at 96.4 Å³/cell. The value obtained for the energy is -18.347 eV per cell. Its density is 9.9 Mg/m³.

a b c (Å): 5.1460 5.1460 5.1460
angles (deg): 60.00 60.00 60.00
Each line ends with the local moment (μB).
Fractional positions:
Er (0.0000, 0.0000, 0.0000)  0.01
Ce (0.5000, 0.5000, 0.5000)  0.55
Ga (0.2500, 0.2500, 0.2500)  -0.01
Au (0.7500, 0.7500, 0.7500)  0.00

---

3.
Material: Ce2ErGe2Au2
Method: DFT, GGA-PBE
State: optimized geometry

Summary:
The calculation puts the volume at 154.0 Å³/cell. The value obtained for the energy is -36.367 eV per cell. Its density is 10.6 Mg/m³.

a b c (Å): 4.4104 4.4104 9.4927
angles (deg): 76.57 76.57 60.00
Each line ends with the local moment (μB).
Fractional positions:
Au (0.3976, 0.3976, 0.8072)  -0.01
Au (0.6024, 0.6024, 0.1928)  -0.01
Ge (0.7411, 0.7411, 0.7768)  -0.01
Ge (0.2589, 0.2589, 0.2232)  -0.01
Ce (0.1411, 0.1411, 0.5768)  0.76
Ce (0.8589, 0.8589, 0.4232)  0.76
Er (0.0000, 0.0000, 0.0000)  -0.02

---

4.
Material: CeErHgAu
Method: DFT, GGA-PBE
State: optimized geometry

Summary:
The calculation puts the volume at 101.3 Å³/cell. The value obtained for the energy is -16.197 eV per cell. Its density is 11.5 Mg/m³.

a b c (Å): 5.2333 5.2333 5.2333
angles (deg): 60.00 60.00 60.00
Each line ends with the local moment (μB).
Fractional positions:
Au (0.0000, 0.0000, 0.0000)  -0.01
Hg (0.5000, 0.5000, 0.5000)  0.00
Ce (0.2500, 0.2500, 0.2500)  0.70
Er (0.7500, 0.7500, 0.7500)  0.02

---

5.
Material: CeErIrAu
Method: DFT, GGA-PBE
State: optimized geometry

Summary:
The calculation puts the volume at 88.9 Å³/cell. The value obtained for the energy is -25.513 eV per cell. Its density is 13.0 Mg/m³.

a b c (Å): 5.0087 5.0087 5.0087
angles (deg): 60.00 60.00 60.00
Each line ends with the local moment (μB).
Fractional positions:
Ir (0.5000, 0.5000, 0.5000)  -0.04
Au (0.0000, 0.0000, 0.0000)  0.00
Er (0.7500, 0.7500, 0.7500)  0.02
Ce (0.2500, 0.2500, 0.2500)  0.47

---

6.
Material: LiCeErAu
Method: DFT, GGA-PBE
State: optimized geometry

Summary:
The calculation puts the volume at 96.4 Å³/cell. The value obtained for the energy is -16.765 eV per cell. Its density is 8.8 Mg/m³.

a b c (Å): 5.1461 5.1461 5.1461
angles (deg): 60.00 60.00 60.00
Each line ends with the local moment (μB).
Fractional positions:
Er (0.7500, 0.7500, 0.7500)  0.04
Au (0.5000, 0.5000, 0.5000)  0.00
Li (0.0000, 0.0000, 0.0000)  0.01
Ce (0.2500, 0.2500, 0.2500)  0.73

---

7.
Material: CeErPdAu
Method: DFT, GGA-PBE
State: optimized geometry

Summary:
The calculation puts the volume at 92.6 Å³/cell. The value obtained for the energy is -21.874 eV per cell. Its density is 11.0 Mg/m³.

a b c (Å): 5.0776 5.0776 5.0776
angles (deg): 60.00 60.00 60.00
Each line ends with the local moment (μB).
Fractional positions:
Au (0.0000, 0.0000, 0.0000)  0.00
Pd (0.5000, 0.5000, 0.5000)  -0.02
Ce (0.2500, 0.2500, 0.2500)  0.69
Er (0.7500, 0.7500, 0.7500)  0.04

---

8.
Material: CeErPtAu
Method: DFT, GGA-PBE
State: optimized geometry

Summary:
The calculation puts the volume at 94.5 Å³/cell. Its density is 12.3 Mg/m³. The value obtained for the energy above the most stable polymorph in this dataset is 0.0 meV/atom.

a b c (Å): 3.7691 4.6967 5.6594
angles (deg): 90.00 109.45 90.00
Each line ends with the local moment (μB).
Fractional positions:
Ce (0.1389, 0.0000, 0.2779)  0.53
Er (0.8637, 0.5000, 0.7274)  0.02
Au (0.5883, 0.5000, 0.1767)  0.00
Pt (0.4090, 0.0000, 0.8181)  -0.01